# Pm2Tl2VO6

An optimized crystal structure of Pm2Tl2VO6 (PBE+U, the Alexandria database).

Geometry as CIF:
```
data_Pm2Tl2VO6
_symmetry_space_group_name_H-M 'C 1 2/m 1'
_symmetry_Int_Tables_number 12
_symmetry_space_group_name_Hall '-C 2y'
_cell_length_a 5.964
_cell_length_b 10.199
_cell_length_c 6.712
_cell_angle_alpha 90.00
_cell_angle_beta 104.93
_cell_angle_gamma 90.00
loop_
_atom_site_label
_atom_site_fract_x
_atom_site_fract_y
_atom_site_fract_z
_atom_site_occupancy
Pm1 0.000 0.165 0.000 1
Tl1 0.000 0.340 0.500 1
V1 0.000 0.500 0.000 1
O1 0.191 0.355 0.157 1
O2 0.237 0.500 0.824 1
```

* density: 7119 kg/m³
* DFT total energy: -149.94 eV/cell